BaEuCrSnO6 | GGA+U | optimized geometry

Properties
DFT total energy   -7.52 eV per atom

Cell: 5.7275 5.7275 5.7275 Å, 60.00 60.00 60.00°
Site moments in Bohr magnetons follow the coordinates.
Atoms (fractional coordinates):
Sn1 0.5000 0.5000 0.5000  -0.01
O1 0.2456 0.7544 0.7544  -0.07
O2 0.7544 0.7544 0.2456  -0.07
O3 0.2456 0.7544 0.2456  -0.07
O4 0.2456 0.2456 0.7544  -0.07
O5 0.7544 0.2456 0.2456  -0.07
O6 0.7544 0.2456 0.7544  -0.07
Cr1 0.0000 0.0000 0.0000  2.73
Eu1 0.7500 0.7500 0.7500  6.55
Ba1 0.2500 0.2500 0.2500  0.01